# 1
Material: CaTb4Te6
Method: DFT, PBE
State: optimized geometry

Cell: 4.3453 7.5009 22.5583 Å, 90.00 90.00 106.84°
With the nearest neighbours (Å) after each atom.
Positions (direct):
Te 0.5000 0.0000 0.5000  6 Tb 3.09-3.15
Te 0.9481 0.8962 0.6634  3 Tb 3.07-3.11, 2 Ca 3.30
Te 0.6816 0.3632 0.7500  2 Tb 3.06, 2 Ca 3.15
Te 0.9481 0.8962 0.8366  3 Tb 3.07-3.11, 2 Ca 3.30
Te 0.2304 0.4609 0.5894  5 Tb 3.08-3.14
Te 0.3184 0.6368 0.2500  2 Tb 3.06, 2 Ca 3.15
Te 0.2304 0.4609 0.9106  5 Tb 3.08-3.14
Te 0.0519 0.1038 0.1634  3 Tb 3.07-3.11, 2 Ca 3.30
Te 0.5000 0.0000 0.0000  6 Tb 3.09-3.15
Te 0.7696 0.5391 0.0894  5 Tb 3.08-3.14
Te 0.0519 0.1038 0.3366  3 Tb 3.07-3.11, 2 Ca 3.30
Te 0.7696 0.5391 0.4106  5 Tb 3.08-3.14
Tb 0.5885 0.1770 0.6280  6 Te 3.06-3.15
Tb 0.4115 0.8230 0.3720  6 Te 3.06-3.15
Tb 0.1410 0.2820 0.4624  6 Te 3.08-3.14
Tb 0.1410 0.2820 0.0376  6 Te 3.08-3.14
Tb 0.5885 0.1770 0.8720  6 Te 3.06-3.15
Tb 0.8590 0.7180 0.9624  6 Te 3.08-3.14
Tb 0.4115 0.8230 0.1280  6 Te 3.06-3.15
Tb 0.8590 0.7180 0.5376  6 Te 3.08-3.14
Ca 0.3408 0.6816 0.7500  6 Te 3.15-3.30
Ca 0.6592 0.3184 0.2500  6 Te 3.15-3.30

Computed properties:
Calculated total energy (eV for the cell shown): -109.9
Space-group type: No. 63
Magnetization (μB per atom): 0.0000
N(E_F) (states/eV/cell): 7.3

# 2
Material: CaTb6Te8
Method: DFT, PBE
State: optimized geometry

Cell: 8.7395 8.7395 8.7395 Å, 60.00 60.00 60.00°
With the nearest neighbours (Å) after each atom.
Positions (direct):
Ca 0.0000 0.0000 0.0000  6 Te 3.17
Te 0.2566 0.2566 0.7434  4 Tb 3.09, 1 Ca 3.17
Te 0.7434 0.2566 0.7434  4 Tb 3.09, 1 Ca 3.17
Te 0.2566 0.7434 0.7434  4 Tb 3.09, 1 Ca 3.17
Te 0.7434 0.2566 0.2566  4 Tb 3.09, 1 Ca 3.17
Te 0.7434 0.7434 0.2566  4 Tb 3.09, 1 Ca 3.17
Te 0.2566 0.7434 0.2566  4 Tb 3.09, 1 Ca 3.17
Te 0.7500 0.7500 0.7500  6 Tb 3.09
Te 0.2500 0.2500 0.2500  6 Tb 3.09
Tb 0.0000 0.5000 0.5000  6 Te 3.09
Tb 0.5000 0.0000 0.0000  6 Te 3.09
Tb 0.0000 0.0000 0.5000  6 Te 3.09
Tb 0.5000 0.0000 0.5000  6 Te 3.09
Tb 0.0000 0.5000 0.0000  6 Te 3.09
Tb 0.5000 0.5000 0.0000  6 Te 3.09

Computed properties:
Calculated total energy (eV for the cell shown): -76.1
Space-group type: No. 225
Magnetization (μB per atom): 0.0000
N(E_F) (states/eV/cell): 5.0

# 3
Material: Ca4Tb3Te8
Method: DFT, PBE
State: optimized geometry

Cell: 8.8842 8.8797 8.8797 Å, 89.75 120.28 120.28°
With the nearest neighbours (Å) after each atom.
Positions (direct):
Ca 0.0000 0.0000 0.0000  6 Te 3.16-3.19
Ca 0.0000 0.0000 0.5000  6 Te 3.12-3.15
Ca 0.0000 0.5000 0.0000  6 Te 3.12-3.15
Ca 0.5000 0.0000 0.0000  6 Te 3.15-3.18
Tb 0.5000 0.5000 0.5000  6 Te 3.08-3.12
Tb 0.5000 0.5000 0.0000  6 Te 3.12-3.15
Tb 0.5000 0.0000 0.5000  6 Te 3.12-3.15
Te 0.0071 0.2550 0.2550  1 Tb 3.08, 4 Ca 3.13-3.17
Te 0.5000 0.2515 0.7485  3 Tb 3.11-3.15, 3 Ca 3.12-3.15
Te 0.5000 0.7485 0.2515  3 Tb 3.11-3.15, 3 Ca 3.12-3.15
Te 0.0000 0.7463 0.2537  2 Tb 3.12, 3 Ca 3.15-3.18
Te 0.0000 0.2537 0.7463  2 Tb 3.12, 3 Ca 3.15-3.18
Te 0.4892 0.7421 0.7421  3 Tb 3.12-3.13, 2 Ca 3.18-3.19
Te 0.9929 0.7450 0.7450  1 Tb 3.08, 4 Ca 3.13-3.17
Te 0.5108 0.2579 0.2579  3 Tb 3.12-3.13, 2 Ca 3.18-3.19

Computed properties:
Calculated total energy (eV for the cell shown): -69.5
Space-group type: No. 12
Magnetization (μB per atom): 0.0000
N(E_F) (states/eV/cell): 2.4

# 4
Material: Ca4Tb3Te8
Method: DFT, PBE
State: optimized geometry

Cell: 8.8402 8.8402 9.5765 Å, 62.51 62.51 60.00°
With the nearest neighbours (Å) after each atom.
Positions (direct):
Te 0.7655 0.7655 0.7036  1 Ca 2.95, 3 Tb 3.04
Te 0.7490 0.7490 0.2669  3 Ca 3.08-3.29, 2 Tb 3.15
Te 0.7490 0.2351 0.2669  3 Ca 3.08-3.29, 2 Tb 3.15
Te 0.2510 0.7649 0.7331  3 Ca 3.08-3.29, 2 Tb 3.15
Te 0.2510 0.2510 0.7331  3 Ca 3.08-3.29, 2 Tb 3.15
Te 0.2351 0.7490 0.2669  3 Ca 3.08-3.29, 2 Tb 3.15
Te 0.2345 0.2345 0.2964  1 Ca 2.95, 3 Tb 3.04
Te 0.7649 0.2510 0.7331  3 Ca 3.08-3.29, 2 Tb 3.15
Tb 0.0000 0.0000 0.5000  6 Te 3.04-3.15
Tb 0.5000 0.0000 0.5000  6 Te 3.04-3.15
Tb 0.0000 0.5000 0.5000  6 Te 3.04-3.15
Ca 0.5000 0.5000 0.5000  6 Te 3.23, 2 Ca 3.50
Ca 0.3560 0.3560 0.9321  4 Te 2.95-3.08
Ca 0.0000 0.0000 0.0000  6 Te 3.29
Ca 0.6440 0.6440 0.0679  4 Te 2.95-3.08

Computed properties:
Calculated total energy (eV for the cell shown): -68.1
Space-group type: No. 166
Magnetization (μB per atom): 0.0000
N(E_F) (states/eV/cell): 4.3

# 5
Material: Ca4TbTe5
Method: DFT, PBE
State: optimized geometry

Cell: 4.4736 4.4736 16.2042 Å, 97.93 97.93 90.00°
With the nearest neighbours (Å) after each atom.
Positions (direct):
Ca 0.1997 0.1997 0.3994  6 Te 3.16-3.22
Ca 0.4006 0.4006 0.8013  6 Te 3.16-3.18
Ca 0.5994 0.5994 0.1987  6 Te 3.16-3.18
Ca 0.8003 0.8003 0.6006  6 Te 3.16-3.22
Te 0.3004 0.3004 0.6009  6 Ca 3.16-3.20
Te 0.6996 0.6996 0.3991  6 Ca 3.16-3.20
Te 0.0983 0.0983 0.1967  1 Tb 3.13, 5 Ca 3.16-3.22
Te 0.9017 0.9017 0.8033  1 Tb 3.13, 5 Ca 3.16-3.22
Te 0.5000 0.5000 0.0000  2 Ca 3.16, 4 Tb 3.16
Tb 0.0000 0.0000 0.0000  6 Te 3.13-3.16

Computed properties:
Calculated total energy (eV for the cell shown): -44.1
Space-group type: No. 139
Magnetization (μB per atom): 0.0000
N(E_F) (states/eV/cell): 2.4

# 6
Material: CaTbTe2
Method: DFT, PBE
State: optimized geometry

Cell: 7.7200 7.6423 9.8919 Å, 104.87 105.18 109.40°
With the nearest neighbours (Å) after each atom.
Positions (direct):
Te 0.3075 0.5592 0.1248  3 Tb 3.12, 3 Ca 3.15
Te 0.0620 0.3134 0.6252  3 Tb 3.12-3.13, 3 Ca 3.14
Te 0.9380 0.6866 0.3748  3 Tb 3.12-3.13, 3 Ca 3.14
Te 0.1827 0.9344 0.8752  3 Tb 3.12, 3 Ca 3.15
Te 0.4368 0.1882 0.3748  3 Tb 3.12-3.13, 3 Ca 3.14
Te 0.8173 0.0656 0.1248  3 Tb 3.12, 3 Ca 3.15
Te 0.5632 0.8118 0.6252  3 Tb 3.12-3.13, 3 Ca 3.14
Te 0.6925 0.4408 0.8752  3 Tb 3.12, 3 Ca 3.15
Tb 0.0633 0.8133 0.1265  6 Te 3.12
Tb 0.8119 0.5619 0.6238  6 Te 3.12-3.13
Tb 0.9367 0.1867 0.8735  6 Te 3.12
Tb 0.1881 0.4381 0.3762  6 Te 3.12-3.13
Ca 0.4381 0.6881 0.8762  6 Te 3.14-3.15
Ca 0.5619 0.3119 0.1238  6 Te 3.14-3.15
Ca 0.3129 0.0629 0.6258  6 Te 3.14-3.15
Ca 0.6871 0.9371 0.3743  6 Te 3.14-3.15

Computed properties:
Calculated total energy (eV for the cell shown): -75.0
Space-group type: No. 15
Magnetization (μB per atom): 0.0000
N(E_F) (states/eV/cell): 6.9

# 7
Material: CaTb2Te4
Method: DFT, PBE
State: optimized geometry

Cell: 8.5409 8.5409 8.5409 Å, 110.05 108.32 110.05°
With the nearest neighbours (Å) after each atom.
Positions (direct):
Te 0.6533 0.7845 0.4829  3 Tb 3.06-3.16, 1 Ca 3.10
Te 0.6984 0.2155 0.8688  3 Tb 3.06-3.16, 1 Ca 3.10
Te 0.2329 0.2845 0.9033  3 Tb 3.06-3.16, 1 Ca 3.10
Te 0.5171 0.1704 0.3016  3 Tb 3.06-3.16, 1 Ca 3.10
Te 0.1312 0.8296 0.3467  3 Tb 3.06-3.16, 1 Ca 3.10
Te 0.0516 0.6704 0.7671  3 Tb 3.06-3.16, 1 Ca 3.10
Te 0.6188 0.7155 0.9484  3 Tb 3.06-3.16, 1 Ca 3.10
Te 0.0967 0.3296 0.3812  3 Tb 3.06-3.16, 1 Ca 3.10
Tb 0.3750 0.7784 0.6534  6 Te 3.06-3.16
Tb 0.3466 0.7216 0.1250  6 Te 3.06-3.16
Tb 0.4034 0.2784 0.6250  6 Te 3.06-3.16
Tb 0.8750 0.2216 0.5966  6 Te 3.06-3.16
Ca 0.7500 0.5000 0.2500  4 Te 3.10
Ca 0.0000 0.0000 0.0000  4 Te 3.10

Computed properties:
Calculated total energy (eV for the cell shown): -67.6
Space-group type: No. 122
Magnetization (μB per atom): 0.0000

# 8
Material: CaTb2Tl3Te6
Method: DFT, PBE
State: optimized geometry

Cell: 7.7887 7.7887 8.4088 Å, 98.86 98.86 119.97°
With the nearest neighbours (Å) after each atom.
Positions (direct):
Te 0.4147 0.0733 0.2193  2 Tb 3.10-3.11, 1 Ca 3.19, 3 Tl 3.40-3.46
Te 0.5853 0.9267 0.7807  2 Tb 3.10-3.11, 1 Ca 3.19, 3 Tl 3.40-3.46
Te 0.7307 0.7307 0.2165  2 Tb 3.10, 1 Ca 3.17, 3 Tl 3.40-3.46
Te 0.2693 0.2693 0.7835  2 Tb 3.10, 1 Ca 3.17, 3 Tl 3.40-3.46
Te 0.9267 0.5853 0.7807  2 Tb 3.10-3.11, 1 Ca 3.19, 3 Tl 3.40-3.46
Te 0.0733 0.4147 0.2193  2 Tb 3.10-3.11, 1 Ca 3.19, 3 Tl 3.40-3.46
Ca 0.0000 0.0000 0.0000  6 Te 3.17-3.19
Tb 0.3329 0.6671 0.0000  6 Te 3.10-3.11
Tb 0.6671 0.3329 0.0000  6 Te 3.10-3.11
Tl 0.1654 0.8346 0.5000  6 Te 3.40-3.46
Tl 0.8346 0.1654 0.5000  6 Te 3.40-3.46
Tl 0.5000 0.5000 0.5000  6 Te 3.40-3.46

Computed properties:
Calculated total energy (eV for the cell shown): -49.1
Space-group type: No. 12
Magnetization (μB per atom): 0.0000
N(E_F) (states/eV/cell): 6.0

Repeat the seventh record exactly.
Material: CaTb2Te4
Method: DFT, PBE
State: optimized geometry

Cell: 8.5409 8.5409 8.5409 Å, 110.05 108.32 110.05°
With the nearest neighbours (Å) after each atom.
Positions (direct):
Te 0.6533 0.7845 0.4829  3 Tb 3.06-3.16, 1 Ca 3.10
Te 0.6984 0.2155 0.8688  3 Tb 3.06-3.16, 1 Ca 3.10
Te 0.2329 0.2845 0.9033  3 Tb 3.06-3.16, 1 Ca 3.10
Te 0.5171 0.1704 0.3016  3 Tb 3.06-3.16, 1 Ca 3.10
Te 0.1312 0.8296 0.3467  3 Tb 3.06-3.16, 1 Ca 3.10
Te 0.0516 0.6704 0.7671  3 Tb 3.06-3.16, 1 Ca 3.10
Te 0.6188 0.7155 0.9484  3 Tb 3.06-3.16, 1 Ca 3.10
Te 0.0967 0.3296 0.3812  3 Tb 3.06-3.16, 1 Ca 3.10
Tb 0.3750 0.7784 0.6534  6 Te 3.06-3.16
Tb 0.3466 0.7216 0.1250  6 Te 3.06-3.16
Tb 0.4034 0.2784 0.6250  6 Te 3.06-3.16
Tb 0.8750 0.2216 0.5966  6 Te 3.06-3.16
Ca 0.7500 0.5000 0.2500  4 Te 3.10
Ca 0.0000 0.0000 0.0000  4 Te 3.10

Computed properties:
Calculated total energy (eV for the cell shown): -67.6
Space-group type: No. 122
Magnetization (μB per atom): 0.0000